Entry 1:
Density functional theory data (PBE) for crystalline Pr3Mg2Tl at its relaxed geometry.

a = 3.9182 Å, b = 3.9182 Å, c = 11.7940 Å
α = 90.00°, β = 90.00°, γ = 90.00°
With the nearest neighbours (Å) after each atom.
Space group P4/mmm (No. 123)
One atom of each set of equivalent atoms:
Pr: 0.0000 0.0000 0.0000 [1 per cell]  8 Mg 3.37
Pr: 0.0000 0.0000 0.3311 [2 per cell]  4 Tl 3.41, 4 Mg 3.41
Mg: 0.5000 0.5000 0.1621 [2 per cell]  8 Pr 3.37-3.41
Tl: 0.5000 0.5000 0.5000 [1 per cell]  8 Pr 3.41

Values from the calculation:
excess energy over the best structure of this formula in the dataset	14	meV per atom
calculated volume	30.2	Å³ per atom
formation energy from the elements	-1.18	eV/f.u.
Fermi-level density of states	8.831	states/eV/cell
calculated density	6.2	Mg/m³

---

Entry 2:
Density functional theory data (PBE) for crystalline Tb6PbS5 at its relaxed geometry.

a = 6.9627 Å, b = 12.0635 Å, c = 7.0009 Å
α = 90.00°, β = 109.46°, γ = 90.00°
With the nearest neighbours (Å) after each atom.
Space group C2/m (No. 12)
One atom of each set of equivalent atoms:
Tb: 0.2371 0.0000 0.2597 [4 per cell]  5 S 2.72-2.85, 1 Pb 2.98
Tb: 0.2378 0.1746 0.7374 [8 per cell]  5 S 2.76-2.86, 1 Pb 2.98
Pb: 0.0000 0.5000 0.0000 [2 per cell]  6 Tb 2.98
S: 0.0000 0.0000 0.5000 [2 per cell]  6 Tb 2.72-2.85
S: 0.0000 0.1682 0.0000 [4 per cell]  6 Tb 2.84-2.86
S: 0.0000 0.3394 0.5000 [4 per cell]  6 Tb 2.76-2.85

Values from the calculation:
energy relative to the elements, uncorrected	-1.715	eV per atom
calculated volume	23.1	Å³ per atom
Fermi-level density of states	7.998	states/eV/cell
calculated density	7.9	Mg/m³

---

Entry 3:
Density functional theory data (PBE) for crystalline Al2ZnNi9 at its relaxed geometry.

a = 3.5701 Å, b = 3.5701 Å, c = 10.7056 Å
α = 90.00°, β = 90.00°, γ = 90.00°
With the nearest neighbours (Å) after each atom.
Space group P4/mmm (No. 123)
One atom of each set of equivalent atoms:
Al: 0.0000 0.0000 0.1667 [2 per cell]  12 Ni 2.51-2.52
Zn: 0.0000 0.0000 0.5000 [1 per cell]  12 Ni 2.52-2.53
Ni: 0.0000 0.5000 0.0000 [2 per cell]  8 Ni 2.52, 4 Al 2.52
Ni: 0.0000 0.5000 0.3320 [4 per cell]  2 Al 2.51, 8 Ni 2.52-2.53, 2 Zn 2.53
Ni: 0.5000 0.5000 0.1658 [2 per cell]  8 Ni 2.52, 4 Al 2.52
Ni: 0.5000 0.5000 0.5000 [1 per cell]  4 Zn 2.52, 8 Ni 2.53

Values from the calculation:
calculated volume	11.4	Å³ per atom
formation energy from the elements	-3.86	eV/f.u.
Fermi-level density of states	11.264	states/eV/cell
calculated density	7.9	Mg/m³

---

Entry 4:
Density functional theory data (PBE) for crystalline CrSbP at its relaxed geometry.

a = 4.5339 Å, b = 4.2240 Å, c = 5.5642 Å
α = 90.00°, β = 106.12°, γ = 90.00°
With the nearest neighbours (Å) after each atom.
Space group P2_1/m (No. 11)
One atom of each set of equivalent atoms:
Cr: 0.1098 0.2500 0.3811 [2 per cell]  4 P 2.35-2.41
Sb: 0.2311 0.2500 0.9302 [2 per cell]  4 Cr 2.71-2.95, 1 P 2.93
P: 0.3372 0.7500 0.4802 [2 per cell]  4 Cr 2.35-2.41, 2 P 2.55

Values from the calculation:
energy relative to the elements, uncorrected	-0.029	eV per atom
excess energy over the best structure of this formula in the dataset	134	meV per atom
calculated volume	17.1	Å³ per atom
Fermi-level density of states	4.076	states/eV/cell
calculated density	6.6	Mg/m³

---

Entry 5:
Density functional theory data (PBE) for crystalline CaC2S2O2F2 at its relaxed geometry.

a = 3.8451 Å, b = 5.5962 Å, c = 8.5911 Å
α = 74.95°, β = 77.13°, γ = 70.35°
With the nearest neighbours (Å) after each atom.
Space group P-1 (No. 2)
One atom of each set of equivalent atoms:
Ca: 0.0000 0.0000 0.0000 [1 per cell]  2 O 2.24
C: 0.3504 0.0877 0.2165 [2 per cell]  1 F 1.40
S: 0.1760 0.3640 0.2836 [2 per cell]  1 O 1.52, 1 C 1.66
O: 0.1352 0.5890 0.1380 [2 per cell]  1 S 1.52
F: 0.3836 0.8862 0.3533 [2 per cell]  1 C 1.40

Values from the calculation:
energy relative to the elements, uncorrected	-0.724	eV per atom
calculated volume	18.5	Å³ per atom
Fermi-level density of states	0.000	states/eV/cell
calculated density	2.0	Mg/m³

---

Entry 6:
Density functional theory data (PBE) for crystalline RbMn2Cl8 at its relaxed geometry.

a = 6.1202 Å, b = 6.1202 Å, c = 8.2580 Å
α = 90.00°, β = 90.00°, γ = 90.00°
With the nearest neighbours (Å) after each atom.
Space group P4/mmm (No. 123)
One atom of each set of equivalent atoms:
Rb: 0.0000 0.0000 0.0000 [1 per cell]  8 Cl 3.38
Mn: 0.0000 0.5000 0.5000 [2 per cell]  8 Cl 2.65
Cl: 0.2517 0.2517 0.3137 [8 per cell]  2 Mn 2.65

Values from the calculation:
energy relative to the elements, uncorrected	-0.675	eV per atom
excess energy over the best structure of this formula in the dataset	357	meV per atom
calculated volume	28.1	Å³ per atom
Fermi-level density of states	8.573	states/eV/cell
calculated density	2.6	Mg/m³

---

Entry 7:
Density functional theory data (PBE) for crystalline Ta5VRe6 at its relaxed geometry.

a = 4.4987 Å, b = 6.3608 Å, c = 13.4918 Å
α = 90.00°, β = 90.00°, γ = 90.00°
With the nearest neighbours (Å) after each atom.
Space group Immm (No. 71)
One atom of each set of equivalent atoms:
Ta: 0.0000 0.0000 0.0000 [2 per cell]  8 Re 2.74-2.77
Ta: 0.0000 0.0000 0.3347 [4 per cell]  8 Re 2.72-2.80
Ta: 0.0000 0.5000 0.3335 [4 per cell]  8 Re 2.76-2.77
V: 0.0000 0.5000 0.0000 [2 per cell]  8 Re 2.73-2.74
Re: 0.0000 0.2455 0.5000 [4 per cell]  6 Ta 2.72-2.77, 2 V 2.74
Re: 0.0000 0.2523 0.1648 [8 per cell]  1 V 2.73, 7 Ta 2.74-2.80

Values from the calculation:
calculated volume	16.1	Å³ per atom
formation energy from the elements	-4.60	eV/f.u.
Fermi-level density of states	8.904	states/eV/cell
calculated density	17.8	Mg/m³

---

Entry 8:
Density functional theory data (PBE) for crystalline Zn3NiC at its relaxed geometry.

a = 4.0519 Å, b = 4.0519 Å, c = 4.0519 Å
α = 90.00°, β = 90.00°, γ = 90.00°
With the nearest neighbours (Å) after each atom.
Space group Pm-3m (No. 221)
One atom of each set of equivalent atoms:
Zn: 0.0000 0.0000 0.5000 [3 per cell]  2 C 2.03
Ni: 0.5000 0.5000 0.5000 [1 per cell]  12 Zn 2.87
C: 0.0000 0.0000 0.0000 [1 per cell]  6 Zn 2.03

Values from the calculation:
excess energy over the best structure of this formula in the dataset	0	meV per atom
calculated volume	13.3	Å³ per atom
formation energy from the elements	3.31	eV/f.u.
Fermi-level density of states	1.918	states/eV/cell
calculated density	6.7	Mg/m³

---

Entry 9:
Density functional theory data (PBE) for crystalline PmGa6Ni4 at its relaxed geometry.

a = 6.9730 Å, b = 6.9730 Å, c = 3.9721 Å
α = 90.00°, β = 90.00°, γ = 120.00°
With the nearest neighbours (Å) after each atom.
Space group P-6m2 (No. 187)
One atom of each set of equivalent atoms:
Pm: 0.0000 0.0000 0.0000 [1 per cell]  6 Ga 3.11, 6 Ni 3.22
Ga: 0.0689 0.5345 0.0000 [3 per cell]  5 Ni 2.43-2.52
Ga: 0.3958 0.1979 0.5000 [3 per cell]  4 Ni 2.47-2.57
Ni: 0.2099 0.4199 0.5000 [3 per cell]  6 Ga 2.47-2.52, 2 Ni 2.58
Ni: 0.6667 0.3333 0.0000 [1 per cell]  9 Ga 2.43-2.57

Values from the calculation:
calculated volume	15.2	Å³ per atom
formation energy from the elements	-5.18	eV/f.u.
Fermi-level density of states	5.309	states/eV/cell
calculated density	7.9	Mg/m³

---

Entry 10:
Density functional theory data (PBE) for crystalline Rb2TeOF6 at its relaxed geometry.

a = 6.4655 Å, b = 6.4655 Å, c = 9.9305 Å
α = 90.00°, β = 90.00°, γ = 90.00°
With the nearest neighbours (Å) after each atom.
Space group I4/mmm (No. 139)
One atom of each set of equivalent atoms:
Rb: 0.0000 0.5000 0.2500 [4 per cell]  12 F 3.26-3.38
Te: 0.0000 0.0000 0.0000 [2 per cell]  6 F 2.08
O: 0.0000 0.0000 0.5000 [2 per cell]  4 F 2.50
F: 0.0000 0.0000 0.2097 [4 per cell]  1 Te 2.08
F: 0.2271 0.2271 0.0000 [8 per cell]  1 Te 2.08

Values from the calculation:
energy relative to the elements, uncorrected	-1.907	eV per atom
calculated volume	20.8	Å³ per atom
Fermi-level density of states	0.000	states/eV/cell
calculated density	3.4	Mg/m³

---

Entry 11:
Density functional theory data (PBE) for crystalline SrCd2Hg3 at its relaxed geometry.

a = 5.0701 Å, b = 5.0701 Å, c = 14.4499 Å
α = 90.00°, β = 90.00°, γ = 120.00°
With the nearest neighbours (Å) after each atom.
Space group P6_3/mmc (No. 194)
One atom of each set of equivalent atoms:
Sr: 0.0000 0.0000 0.2500 [2 per cell]  8 Hg 3.37-3.61, 6 Cd 3.73
Cd: 0.3333 0.6667 0.0900 [4 per cell]  7 Hg 3.00-3.25
Hg: 0.0000 0.0000 0.0000 [2 per cell]  6 Cd 3.20, 6 Hg 3.52
Hg: 0.3333 0.6667 0.6348 [4 per cell]  4 Cd 3.00-3.25, 1 Hg 3.33

Values from the calculation:
excess energy over the best structure of this formula in the dataset	0	meV per atom
calculated volume	26.8	Å³ per atom
formation energy from the elements	-1.57	eV/f.u.
Fermi-level density of states	6.375	states/eV/cell
calculated density	9.4	Mg/m³

---

Entry 12:
Density functional theory data (PBE) for crystalline Mg5H3I12 at its relaxed geometry.

a = 18.1689 Å, b = 18.1689 Å, c = 18.1689 Å
α = 90.00°, β = 90.00°, γ = 90.00°
With the nearest neighbours (Å) after each atom.
Space group Ia-3d (No. 230)
One atom of each set of equivalent atoms:
Mg: 0.0000 0.0000 0.0000 [16 per cell]  6 I 2.95
Mg: 0.0000 0.2500 0.3750 [24 per cell]  4 I 2.76
H: 0.0000 0.2500 0.1250 [24 per cell]  8 I 3.48-3.65
I: 0.0345 0.0629 0.6456 [96 per cell]  2 Mg 2.76-2.95

Values from the calculation:
uncorrected energy	-2.1424	eV per atom
calculated volume	37.5	Å³ per atom
Fermi-level density of states	187.211	states/eV/cell
calculated density	3.6	Mg/m³